Entry from OQMD via LeMat-Bulk: a relaxed FeOsPbW crystal (PBE).

Computed properties:
- calculated volume (A^3/atom) = 16.21
- E_tot (eV per atom) = -8.33
- distance to the lowest polymorph of the same formula (eV per formula unit) = 0.00
- total magnetization (μB per atom) = 0.547

Unit cell a=6.378 b=6.378 c=6.378 alpha=90.00 beta=90.00 gamma=90.00
Sites, in units of the cell vectors:
Fe (0.000, 0.000, 0.000)
Fe (0.000, 0.500, 0.500)
Fe (0.500, 0.000, 0.500)
Fe (0.500, 0.500, 0.000)
Os (0.000, 0.000, 0.500)
Os (0.000, 0.500, 0.000)
Os (0.500, 0.000, 0.000)
Os (0.500, 0.500, 0.500)
Pb (0.250, 0.250, 0.750)
Pb (0.250, 0.750, 0.250)
Pb (0.750, 0.250, 0.250)
Pb (0.750, 0.750, 0.750)
W (0.250, 0.250, 0.250)
W (0.250, 0.750, 0.750)
W (0.750, 0.250, 0.750)
W (0.750, 0.750, 0.250)